Density functional theory data (GGA+U) for an optimized crystal structure of Cs2NiGeO4.

Properties
Energy, eV/atom: -5.07
Space-group type: Fddd

Lattice parameters (Å, degrees): 12.4321 11.0643 6.7908 84.66 62.39 32.95
Closest atoms and distances in Å follow each position.
Sites, in units of the cell vectors:
Cs  0.0486  0.0486  0.7014  8 O 3.33-3.58
Cs  0.2986  0.2986  0.9514  8 O 3.33-3.58
Cs  0.7014  0.7014  0.0486  8 O 3.33-3.58
Cs  0.9514  0.9514  0.2986  8 O 3.33-3.58
Ni  0.1250  0.1250  0.1250  4 O 1.98
Ni  0.8750  0.8750  0.8750  4 O 1.98
Ge  0.3750  0.3750  0.3750  4 O 1.79
Ge  0.6250  0.6250  0.6250  4 O 1.79
O  0.0287  0.6370  0.5625  1 Ge 1.79, 1 Ni 1.98
O  0.2717  0.5625  0.6370  1 Ge 1.79, 1 Ni 1.98
O  0.3630  0.9713  0.7283  1 Ge 1.79, 1 Ni 1.98
O  0.4375  0.7283  0.9713  1 Ge 1.79, 1 Ni 1.98
O  0.5625  0.2717  0.0287  1 Ge 1.79, 1 Ni 1.98
O  0.6370  0.0287  0.2717  1 Ge 1.79, 1 Ni 1.98
O  0.7283  0.4375  0.3630  1 Ge 1.79, 1 Ni 1.98
O  0.9713  0.3630  0.4375  1 Ge 1.79, 1 Ni 1.98